Ca5Rh after structural relaxation, computed with PBEsol.

Output
- energy above the lowest structure with this stoichiometry (eV/f.u.) = 0.00
- energy of formation (eV per formula unit) = -1.2
- electronic total energy (eV/cell) = -79.973
- magnetic moment (μB/f.u.) = 0.000
- crystal system = orthorhombic

a = 7.493 Å, b = 15.672 Å, c = 6.642 Å
α = 90.00°, β = 90.00°, γ = 90.00°
Space group Pnma (No. 62)
Unique sites:
Ca: 0.036 0.145 0.175 x8
Ca: 0.094 0.750 0.350 x4
Ca: 0.191 0.064 0.646 x8
Rh: 0.241 0.250 0.464 x4

=====

Ca3Rh after structural relaxation, computed with PBEsol.

Output
- energy of formation (eV per formula unit) = 0.2
- electronic total energy (eV/cell) = -14.350
- magnetic moment (μB/f.u.) = 0.001
- crystal system = tetragonal

a = 4.670 Å, b = 4.670 Å, c = 4.679 Å
α = 90.00°, β = 90.00°, γ = 90.00°
Space group P4mm (No. 99)
Unique sites:
Ca: 0.000 0.000 0.000 x1
Ca: 0.000 0.500 0.500 x2
Rh: 0.500 0.500 0.998 x1

=====

Ca5Rh after structural relaxation, computed with PBEsol.

Output
- energy above the lowest structure with this stoichiometry (eV/f.u.) = 1.81
- energy of formation (eV per formula unit) = 0.6
- electronic total energy (eV/cell) = -18.187
- magnetic moment (μB/f.u.) = 0.000
- crystal system = hexagonal

a = 6.4774 Å, b = 6.4774 Å, c = 5.0127 Å
α = 90.00°, β = 90.00°, γ = 120.00°
Space group P-62m (No. 189)
Unique sites:
Ca: 0.0000 0.7162 0.0000 x3
Ca: 0.3333 0.6667 0.5000 x2
Rh: 0.0000 0.0000 0.5000 x1

=====

Ca5Rh after structural relaxation, computed with PBEsol.

Output
- energy above the lowest structure with this stoichiometry (eV/f.u.) = 0.57
- energy of formation (eV per formula unit) = -0.6
- electronic total energy (eV/cell) = -38.849
- magnetic moment (μB/f.u.) = 0.000
- crystal system = monoclinic

a = 12.753 Å, b = 3.653 Å, c = 9.125 Å
α = 90.00°, β = 113.31°, γ = 90.00°
Space group C2/m (No. 12)
Unique sites:
Ca: 0.000 0.000 0.000 x2
Ca: 0.119 0.500 0.382 x4
Ca: 0.165 0.500 0.772 x4
Rh: 0.000 0.000 0.500 x2

=====

CaRuRh2 after structural relaxation, computed with PBEsol.

Output
- energy above the lowest structure with this stoichiometry (eV/f.u.) = 0.00
- energy of formation (eV per formula unit) = 1.1
- electronic total energy (eV/cell) = -27.518
- magnetic moment (μB/f.u.) = 0.275
- crystal system = tetragonal

a = 4.037 Å, b = 4.037 Å, c = 3.786 Å
α = 90.00°, β = 90.00°, γ = 90.00°
Space group P4/mmm (No. 123)
Unique sites:
Ca: 0.000 0.000 0.000 x1
Ru: 0.500 0.500 0.000 x1
Rh: 0.000 0.500 0.500 x2

=====

Ca2RuRh after structural relaxation, computed with PBEsol.

Output
- energy of formation (eV per formula unit) = 0.8
- electronic total energy (eV/cell) = -43.565
- magnetic moment (μB/f.u.) = 0.532
- crystal system = orthorhombic

a = 4.543 Å, b = 4.858 Å, c = 8.345 Å
α = 90.00°, β = 90.00°, γ = 90.00°
Space group Cmm2 (No. 35)
Unique sites:
Ca: 0.000 0.000 0.000 x2
Ca: 0.000 0.500 0.407 x2
Ru: 0.000 0.500 0.760 x2
Rh: 0.000 0.000 0.642 x2

=====

CaRu2Rh after structural relaxation, computed with PBEsol.

Output
- energy of formation (eV per formula unit) = 1.5
- electronic total energy (eV/cell) = -29.080
- magnetic moment (μB/f.u.) = 0.000
- crystal system = tetragonal

a = 2.731 Å, b = 2.731 Å, c = 8.365 Å
α = 90.00°, β = 90.00°, γ = 90.00°
Space group P4/mmm (No. 123)
Unique sites:
Ca: 0.000 0.000 0.000 x1
Ru: 0.500 0.500 0.284 x2
Rh: 0.000 0.000 0.500 x1

=====

CaRuRh2 after structural relaxation, computed with PBEsol.

Output
- energy above the lowest structure with this stoichiometry (eV/f.u.) = 0.03
- energy of formation (eV per formula unit) = 1.1
- electronic total energy (eV/cell) = -54.972
- magnetic moment (μB/f.u.) = 0.000
- crystal system = tetragonal

a = 3.925 Å, b = 3.925 Å, c = 7.992 Å
α = 90.00°, β = 90.00°, γ = 90.00°
Space group I-4m2 (No. 119)
Unique sites:
Ca: 0.000 0.000 0.000 x2
Ru: 0.000 0.500 0.750 x2
Rh: 0.000 0.000 0.500 x2
Rh: 0.000 0.500 0.250 x2

=====

CaRuRh2 after structural relaxation, computed with PBEsol.

Output
- energy above the lowest structure with this stoichiometry (eV/f.u.) = 0.28
- energy of formation (eV per formula unit) = 1.3
- electronic total energy (eV/cell) = -27.239
- magnetic moment (μB/f.u.) = 0.815
- crystal system = orthorhombic

a = 2.873 Å, b = 4.567 Å, c = 4.685 Å
α = 90.00°, β = 90.00°, γ = 90.00°
Space group Pmmm (No. 47)
Unique sites:
Ca: 0.000 0.000 0.000 x1
Ru: 0.500 0.000 0.500 x1
Rh: 0.000 0.500 0.500 x1
Rh: 0.500 0.500 0.000 x1

=====

CaRhS2 after structural relaxation, computed with PBEsol.

Output
- electronic total energy (eV/cell) = -86.579
- magnetic moment (μB/f.u.) = 0.418
- crystal system = cubic

a = 6.379 Å, b = 6.379 Å, c = 6.379 Å
α = 90.00°, β = 90.00°, γ = 90.00°
Space group Fm-3m (No. 225)
Unique sites:
Ca: 0.000 0.000 0.000 x4
Rh: 0.000 0.000 0.500 x4
S: 0.250 0.250 0.250 x8

=====

CaSb2Rh after structural relaxation, computed with PBEsol.

Output
- electronic total energy (eV/cell) = -85.443
- magnetic moment (μB/f.u.) = 0.000
- crystal system = tetragonal

a = 8.049 Å, b = 8.049 Å, c = 5.874 Å
α = 90.00°, β = 90.00°, γ = 90.00°
Space group I-42d (No. 122)
Unique sites:
Ca: 0.000 0.000 0.000 x4
Sb: 0.184 0.750 0.625 x8
Rh: 0.000 0.000 0.500 x4

=====

CaSbRh2 after structural relaxation, computed with PBEsol.

Output
- electronic total energy (eV/cell) = -74.827
- magnetic moment (μB/f.u.) = 0.000
- crystal system = trigonal

a = 4.4467 Å, b = 4.4467 Å, c = 14.1615 Å
α = 90.00°, β = 90.00°, γ = 120.00°
Space group R-3m (No. 166, hexagonal axes)
Unique sites:
Ca: 0.0000 0.0000 0.0000 x3
Sb: 0.0000 0.0000 0.5000 x3
Rh: 0.0000 0.0000 0.2033 x6